Entry 1:
# CaIrRu3 (PBE, optimized geometry)
data_CaIrRu3
_chemical_formula_sum 'Ca1 Ir1 Ru3'
_cell_length_a 4.754
_cell_length_b 4.754
_cell_length_c 4.754
_cell_angle_alpha 90.00
_cell_angle_beta 90.00
_cell_angle_gamma 90.00
_space_group_name_H-M_alt 'P m -3 m'
_space_group_IT_number 221
_space_group_name_Hall '-P 4 2 3'
loop_
_atom_site_label
_atom_site_fract_x
_atom_site_fract_y
_atom_site_fract_z
_atom_site_occupancy
Ca1 0.000 0.000 0.000 1
Ir1 0.500 0.500 0.500 1
Ru1 0.000 0.500 0.500 1
# offset from the most stable computed form	0.00	eV/f.u.
# DFT total energy	-33.275	eV/f.u.
# energy of formation from the pure elements	1083.0	meV/atom


Entry 2:
# Ca2Si4Ir3Ru (PBE, optimized geometry)
data_Ca2Si4Ir3Ru
_chemical_formula_sum 'Ca2 Si4 Ir3 Ru1'
_cell_length_a 4.189
_cell_length_b 4.189
_cell_length_c 9.738
_cell_angle_alpha 90.00
_cell_angle_beta 90.00
_cell_angle_gamma 90.00
_space_group_name_H-M_alt 'P -4 m 2'
_space_group_IT_number 115
_space_group_name_Hall 'P -4 -2'
loop_
_atom_site_label
_atom_site_fract_x
_atom_site_fract_y
_atom_site_fract_z
_atom_site_occupancy
Ca1 0.000 0.500 0.247 1
Si1 0.000 0.000 0.500 1
Si2 0.000 0.500 0.879 1
Si3 0.500 0.500 0.500 1
Ir1 0.000 0.000 0.000 1
Ir2 0.000 0.500 0.627 1
Ru1 0.500 0.500 0.000 1
# DFT total energy	-70.092	eV/f.u.
# uncorrected formation energy	-0.85	eV per atom


Entry 3:
# CaTa2IrRu (PBE, optimized geometry)
data_CaTa2IrRu
_chemical_formula_sum 'Ca1 Ta2 Ir1 Ru1'
_cell_length_a 4.826
_cell_length_b 4.826
_cell_length_c 5.156
_cell_angle_alpha 90.00
_cell_angle_beta 90.00
_cell_angle_gamma 90.00
_space_group_name_H-M_alt 'P 4/m m m'
_space_group_IT_number 123
_space_group_name_Hall '-P 4 2'
loop_
_atom_site_label
_atom_site_fract_x
_atom_site_fract_y
_atom_site_fract_z
_atom_site_occupancy
Ca1 0.000 0.000 0.000 1
Ta1 0.000 0.500 0.500 1
Ir1 0.000 0.000 0.500 1
Ru1 0.500 0.500 0.000 1
# DFT total energy	-37.869	eV/f.u.
# energy of formation from the pure elements	1195.0	meV/atom


Entry 4:
# Ca2TcIrRu (PBE, optimized geometry)
data_Ca2TcIrRu
_chemical_formula_sum 'Ca2 Tc1 Ir1 Ru1'
_cell_length_a 5.320
_cell_length_b 5.320
_cell_length_c 4.700
_cell_angle_alpha 90.00
_cell_angle_beta 90.00
_cell_angle_gamma 90.00
_space_group_name_H-M_alt 'P 4/m m m'
_space_group_IT_number 123
_space_group_name_Hall '-P 4 2'
loop_
_atom_site_label
_atom_site_fract_x
_atom_site_fract_y
_atom_site_fract_z
_atom_site_occupancy
Ca1 0.000 0.500 0.000 1
Tc1 0.000 0.000 0.500 1
Ir1 0.000 0.000 0.000 1
Ru1 0.500 0.500 0.500 1
# offset from the most stable computed form	0.00	eV/f.u.
# DFT total energy	-27.211	eV/f.u.
# energy of formation from the pure elements	1059.0	meV/atom